# PBE Mn2WCl, optimized geometry
# crystal system = monoclinic
# DOS at the Fermi energy = 2.467 states/eV/f.u.
# raw formation energy = 9.1 kcal/mol of atoms
data_Mn2WCl
_symmetry_space_group_name_H-M 'P 1'
_symmetry_Int_Tables_number 1
_cell_length_a 3.7521
_cell_length_b 3.7521
_cell_length_c 7.0441
_cell_angle_alpha 86.67
_cell_angle_beta 86.67
_cell_angle_gamma 46.79
loop_
_symmetry_equiv_pos_as_xyz
'x,y,z'
loop_
_atom_site_label
_atom_site_fract_x
_atom_site_fract_y
_atom_site_fract_z
Cl1 0.0886 0.0886 0.2751
Mn1 0.0780 0.0780 0.9285
Mn2 0.8013 0.8013 0.7318
W1 0.5322 0.5322 0.5646